Entry from Alexandria: a PBEsol-optimized structure of ZrTe3Os (SCAN).

CIF file:
```
data_ZrTe3Os
_chemical_formula_sum 'Zr1 Te3 Os1'
_cell_length_a 5.4500
_cell_length_b 5.4500
_cell_length_c 5.4500
_cell_angle_alpha 90.00
_cell_angle_beta 90.00
_cell_angle_gamma 90.00
_space_group_name_H-M_alt 'P m -3 m'
_space_group_IT_number 221
_space_group_name_Hall '-P 4 2 3'
loop_
_atom_site_label
_atom_site_fract_x
_atom_site_fract_y
_atom_site_fract_z
_atom_site_occupancy
Zr1 0.0000 0.0000 0.0000 1
Te1 0.0000 0.0000 0.5000 1
Os1 0.5000 0.5000 0.5000 1
```

Output
energy relative to the elements, uncorrected	1.149	eV per atom
energy	-208.59	eV/cell
M_tot	0.726	μB/atom